A plane-wave DFT calculation with PBE-GGA was carried out for an optimized crystal structure of PmGdSiGe.

Cell: 5.121 5.121 5.121 Å, 60.00 60.00 60.00°
Positions (direct):
Pm  0.000  0.000  0.000
Gd  0.500  0.500  0.500
Si  0.750  0.750  0.750
Ge  0.250  0.250  0.250

As for the calculated total energy: -7.714 eV/atom.



A plane-wave DFT calculation with PBE-GGA was carried out for an optimized crystal structure of PmGdSnGe.

Cell: 5.310 5.310 5.310 Å, 60.00 60.00 60.00°
Positions (direct):
Pm  0.000  0.000  0.000
Gd  0.500  0.500  0.500
Sn  0.250  0.250  0.250
Ge  0.750  0.750  0.750

As for the calculated total energy: -7.423 eV/atom.



A plane-wave DFT calculation with PBE-GGA was carried out for an optimized crystal structure of PmGdZnGe.

Cell: 5.115 5.115 5.115 Å, 60.00 60.00 60.00°
Positions (direct):
Pm  0.000  0.000  0.000
Gd  0.500  0.500  0.500
Zn  0.750  0.750  0.750
Ge  0.250  0.250  0.250

As for the calculated total energy: -6.709 eV/atom.



A plane-wave DFT calculation with PBE-GGA was carried out for an optimized crystal structure of Pr2GdGe.

Cell: 11.289 11.289 11.289 Å, 19.11 19.11 19.11°
Positions (direct):
Pr  0.105  0.105  0.105
Pr  0.895  0.895  0.895
Gd  0.000  0.000  0.000
Ge  0.500  0.500  0.500

As for the calculated total energy: -7.088 eV/atom. The energy above the most stable polymorph in this dataset is 321 meV/atom.



A plane-wave DFT calculation with PBE-GGA was carried out for an optimized crystal structure of Pr2GdGe.

Cell: 4.842 4.842 4.769 Å, 90.00 90.00 90.00°
Positions (direct):
Pr  0.000  0.500  0.000
Pr  0.500  0.000  0.000
Gd  0.000  0.000  0.500
Ge  0.500  0.500  0.500

As for the calculated total energy: -7.409 eV/atom. The energy above the most stable polymorph in this dataset is 0 meV/atom.



A plane-wave DFT calculation with PBE-GGA was carried out for an optimized crystal structure of PrGd2Ge.

Cell: 6.276 6.276 6.276 Å, 46.18 46.18 46.18°
Positions (direct):
Pr  0.000  0.000  0.000
Gd  0.226  0.226  0.226
Gd  0.774  0.774  0.774
Ge  0.500  0.500  0.500

As for the calculated total energy: -9.494 eV/atom. The energy above the most stable polymorph in this dataset is 250 meV/atom.



A plane-wave DFT calculation with PBE-GGA was carried out for an optimized crystal structure of PrGd2Ge.

Cell: 3.849 3.849 7.658 Å, 90.00 90.00 90.00°
Positions (direct):
Pr  0.000  0.000  0.000
Gd  0.500  0.500  0.305
Gd  0.500  0.500  0.695
Ge  0.000  0.000  0.500

As for the calculated total energy: -9.730 eV/atom. The energy above the most stable polymorph in this dataset is 14 meV/atom.



A plane-wave DFT calculation with PBE-GGA was carried out for an optimized crystal structure of PrGd2Ge.

Cell: 4.767 4.767 4.755 Å, 90.00 90.00 90.00°
Positions (direct):
Pr  0.000  0.000  0.000
Gd  0.000  0.500  0.500
Gd  0.500  0.000  0.500
Ge  0.500  0.500  0.000

As for the calculated total energy: -9.744 eV/atom. The energy above the most stable polymorph in this dataset is 0 meV/atom.



A plane-wave DFT calculation with PBE-GGA was carried out for an optimized crystal structure of Pr2GdGe.

Cell: 4.045 4.045 7.137 Å, 90.00 90.00 90.00°
Positions (direct):
Pr  0.000  0.000  0.211
Pr  0.000  0.000  0.789
Gd  0.500  0.500  0.500
Ge  0.500  0.500  0.000

As for the calculated total energy: -7.373 eV/atom. The energy above the most stable polymorph in this dataset is 37 meV/atom.



A plane-wave DFT calculation with PBE-GGA was carried out for an optimized crystal structure of PrGdGeRh.

Cell: 5.088 5.088 5.088 Å, 60.00 60.00 60.00°
Positions (direct):
Pr  0.000  0.000  0.000
Gd  0.500  0.500  0.500
Ge  0.750  0.750  0.750
Rh  0.250  0.250  0.250

As for the calculated total energy: -8.335 eV/atom.



A plane-wave DFT calculation with PBE-GGA was carried out for an optimized crystal structure of PrGdTlGe.

Cell: 5.344 5.344 5.344 Å, 60.00 60.00 60.00°
Positions (direct):
Pr  0.000  0.000  0.000
Gd  0.500  0.500  0.500
Tl  0.250  0.250  0.250
Ge  0.750  0.750  0.750

As for the calculated total energy: -6.913 eV/atom.



A plane-wave DFT calculation with PBE-GGA was carried out for an optimized crystal structure of Gd2GePt.

Cell: 3.519 3.519 7.342 Å, 90.00 90.00 90.00°
Positions (direct):
Gd  0.000  0.000  0.243
Gd  0.000  0.000  0.757
Ge  0.500  0.500  0.500
Pt  0.500  0.500  0.000

As for the calculated total energy: -10.631 eV/atom.



A plane-wave DFT calculation with PBE-GGA was carried out for an optimized crystal structure of Gd2GePt.

Cell: 6.655 6.655 6.655 Å, 38.31 38.31 38.31°
Positions (direct):
Gd  0.249  0.249  0.249
Gd  0.751  0.751  0.751
Ge  0.000  0.000  0.000
Pt  0.500  0.500  0.500

As for the calculated total energy: -10.557 eV/atom.



A plane-wave DFT calculation with PBE-GGA was carried out for an optimized crystal structure of GdScGePt.

Cell: 4.901 4.901 4.901 Å, 60.00 60.00 60.00°
Positions (direct):
Gd  0.000  0.000  0.000
Sc  0.500  0.500  0.500
Ge  0.750  0.750  0.750
Pt  0.250  0.250  0.250

As for the calculated total energy: -8.657 eV/atom.



A plane-wave DFT calculation with PBE-GGA was carried out for an optimized crystal structure of SmGdGePt.

Cell: 5.082 5.082 5.082 Å, 60.00 60.00 60.00°
Positions (direct):
Sm  0.000  0.000  0.000
Gd  0.500  0.500  0.500
Ge  0.250  0.250  0.250
Pt  0.750  0.750  0.750

As for the calculated total energy: -8.259 eV/atom.



A plane-wave DFT calculation with PBE-GGA was carried out for an optimized crystal structure of TbGdGePt.

Cell: 5.040 5.040 5.040 Å, 60.00 60.00 60.00°
Positions (direct):
Tb  0.000  0.000  0.000
Gd  0.500  0.500  0.500
Ge  0.250  0.250  0.250
Pt  0.750  0.750  0.750

As for the calculated total energy: -8.268 eV/atom.



A plane-wave DFT calculation with PBE-GGA was carried out for an optimized crystal structure of GdTmGePt.

Cell: 4.998 4.998 4.998 Å, 60.00 60.00 60.00°
Positions (direct):
Gd  0.000  0.000  0.000
Tm  0.500  0.500  0.500
Ge  0.750  0.750  0.750
Pt  0.250  0.250  0.250

As for the calculated total energy: -8.245 eV/atom.



A plane-wave DFT calculation with PBE-GGA was carried out for an optimized crystal structure of GdPuGe2.

Cell: 5.061 5.061 5.061 Å, 60.00 60.00 60.00°
Positions (direct):
Gd  0.000  0.000  0.000
Pu  0.500  0.500  0.500
Ge  0.250  0.250  0.250
Ge  0.750  0.750  0.750

As for the calculated total energy: -9.910 eV/atom. The energy above the most stable polymorph in this dataset is 14 meV/atom.



A plane-wave DFT calculation with PBE-GGA was carried out for an optimized crystal structure of GdPuGe2.

Cell: 5.432 5.432 3.060 Å, 90.00 90.00 90.00°
Positions (direct):
Gd  0.000  0.000  0.000
Pu  0.500  0.500  0.000
Ge  0.000  0.500  0.500
Ge  0.500  0.000  0.500

As for the calculated total energy: -9.924 eV/atom. The energy above the most stable polymorph in this dataset is 0 meV/atom.



A plane-wave DFT calculation with PBE-GGA was carried out for an optimized crystal structure of GdPuGeRh.

Cell: 4.982 4.982 4.982 Å, 60.00 60.00 60.00°
Positions (direct):
Gd  0.000  0.000  0.000
Pu  0.500  0.500  0.500
Ge  0.750  0.750  0.750
Rh  0.250  0.250  0.250

As for the calculated total energy: -10.583 eV/atom.



A plane-wave DFT calculation with PBE-GGA was carried out for an optimized crystal structure of GdPuTlGe.

Cell: 5.256 5.256 5.256 Å, 60.00 60.00 60.00°
Positions (direct):
Gd  0.000  0.000  0.000
Pu  0.500  0.500  0.500
Tl  0.250  0.250  0.250
Ge  0.750  0.750  0.750

As for the calculated total energy: -9.152 eV/atom.



A plane-wave DFT calculation with PBE-GGA was carried out for an optimized crystal structure of GdGe4Rh6.

Cell: 7.228 7.228 3.849 Å, 90.00 90.00 120.00°
Positions (direct):
Gd  0.000  0.000  0.000
Ge  0.333  0.667  0.000
Ge  0.394  0.197  0.500
Ge  0.803  0.197  0.500
Ge  0.803  0.606  0.500
Rh  0.199  0.398  0.500
Rh  0.199  0.801  0.500
Rh  0.533  0.067  0.000
Rh  0.533  0.467  0.000
Rh  0.602  0.801  0.500
Rh  0.933  0.467  0.000

As for the calculated total energy: -7.721 eV/atom.



A plane-wave DFT calculation with PBE-GGA was carried out for an optimized crystal structure of GdGe2Rh2.

Cell: 5.987 5.987 5.987 Å, 139.44 139.44 58.70°
Positions (direct):
Gd  0.000  0.000  0.000
Ge  0.378  0.378  0.000
Ge  0.622  0.622  0.000
Rh  0.250  0.750  0.500
Rh  0.750  0.250  0.500

As for the calculated total energy: -8.499 eV/atom.



A plane-wave DFT calculation with PBE-GGA was carried out for an optimized crystal structure of SmGdGeRh.

Cell: 5.033 5.033 5.033 Å, 60.00 60.00 60.00°
Positions (direct):
Sm  0.000  0.000  0.000
Gd  0.500  0.500  0.500
Ge  0.750  0.750  0.750
Rh  0.250  0.250  0.250

As for the calculated total energy: -8.367 eV/atom.



A plane-wave DFT calculation with PBE-GGA was carried out for an optimized crystal structure of TbGdGeRh.

Cell: 4.989 4.989 4.989 Å, 60.00 60.00 60.00°
Positions (direct):
Tb  0.000  0.000  0.000
Gd  0.500  0.500  0.500
Ge  0.750  0.750  0.750
Rh  0.250  0.250  0.250

As for the calculated total energy: -8.380 eV/atom.



A plane-wave DFT calculation with PBE-GGA was carried out for an optimized crystal structure of GdYGeRh.

Cell: 4.984 4.984 4.984 Å, 60.00 60.00 60.00°
Positions (direct):
Gd  0.000  0.000  0.000
Y  0.500  0.500  0.500
Ge  0.250  0.250  0.250
Rh  0.750  0.750  0.750

As for the calculated total energy: -8.847 eV/atom.



A plane-wave DFT calculation with PBE-GGA was carried out for an optimized crystal structure of GdGe2Ru.

Cell: 5.522 5.522 5.522 Å, 44.81 44.81 44.81°
Positions (direct):
Gd  0.000  0.000  0.000
Ge  0.220  0.220  0.220
Ge  0.780  0.780  0.780
Ru  0.500  0.500  0.500

As for the calculated total energy: -8.750 eV/atom.



A plane-wave DFT calculation with PBE-GGA was carried out for an optimized crystal structure of SmGdGeRu.

Cell: 5.008 5.008 5.008 Å, 60.00 60.00 60.00°
Positions (direct):
Sm  0.000  0.000  0.000
Gd  0.500  0.500  0.500
Ge  0.250  0.250  0.250
Ru  0.750  0.750  0.750

As for the calculated total energy: -8.582 eV/atom.



A plane-wave DFT calculation with PBE-GGA was carried out for an optimized crystal structure of TbGdGeRu.

Cell: 4.965 4.965 4.965 Å, 60.00 60.00 60.00°
Positions (direct):
Tb  0.000  0.000  0.000
Gd  0.500  0.500  0.500
Ge  0.250  0.250  0.250
Ru  0.750  0.750  0.750

As for the calculated total energy: -8.602 eV/atom.



A plane-wave DFT calculation with PBE-GGA was carried out for an optimized crystal structure of GdYGeRu.

Cell: 4.960 4.960 4.960 Å, 60.00 60.00 60.00°
Positions (direct):
Gd  0.000  0.000  0.000
Y  0.500  0.500  0.500
Ge  0.250  0.250  0.250
Ru  0.750  0.750  0.750

As for the calculated total energy: -9.068 eV/atom.